# K2MnIrF

A relaxed K2MnIrF crystal (PBE+U, the Alexandria database).

```
data_K2MnIrF
_space_group_name_H-M_alt 'P 4/m m m'
_space_group_IT_number 123
_space_group_name_Hall '-P 4 2'
_cell_length_a 6.484
_cell_length_b 6.484
_cell_length_c 4.716
_cell_angle_alpha 90.00
_cell_angle_beta 90.00
_cell_angle_gamma 90.00
loop_
_atom_site_label
_atom_site_type_symbol
_atom_site_fract_x
_atom_site_fract_y
_atom_site_fract_z
K1 K 0.000 0.500 0.000
Mn1 Mn 0.000 0.000 0.000
Ir1 Ir 0.000 0.000 0.500
F1 F 0.500 0.500 0.500
```

Properties
Density of states at the Fermi level   2.676 states/eV per cell
Mass density   2.88 g/cm³
V   39.7 Å³ per atom
DFT total energy   -3.845 eV per atom
Total magnetization   4.454 Bohr magnetons per cell